w:
Here is a relaxed structure of Rb3TlTe3 from Alexandria. Energies are from PBE.

Cell: 10.3641 9.0832 14.2518 Å, 90.00 99.11 90.00°
Atoms (fractional coordinates):
Rb1 0.0872 0.1818 0.1162
Rb2 0.0872 0.3182 0.6162
Rb3 0.2902 0.7316 0.7820
Rb4 0.2902 0.7684 0.2820
Rb5 0.4029 0.2383 0.9182
Rb6 0.4029 0.2617 0.4182
Rb7 0.5971 0.7383 0.5818
Rb8 0.5971 0.7617 0.0818
Rb9 0.7098 0.2316 0.7180
Rb10 0.7098 0.2684 0.2180
Rb11 0.9128 0.6818 0.3838
Rb12 0.9128 0.8182 0.8838
Tl1 0.1830 0.5830 0.0438
Tl2 0.1830 0.9170 0.5438
Tl3 0.8170 0.0830 0.4562
Tl4 0.8170 0.4170 0.9562
Te1 0.0665 0.0721 0.3696
Te2 0.0665 0.4279 0.8696
Te3 0.2526 0.6185 0.5159
Te4 0.2526 0.8815 0.0159
Te5 0.3842 0.0759 0.6602
Te6 0.3842 0.4241 0.1602
Te7 0.6158 0.5759 0.8398
Te8 0.6158 0.9241 0.3398
Te9 0.7474 0.1185 0.9841
Te10 0.7474 0.3815 0.4841
Te11 0.9335 0.5721 0.1304
Te12 0.9335 0.9279 0.6304

Size of the total moment in μB per cell: 0.000
Crystal system: monoclinic

***

x:
Here is a relaxed structure of Rb3TlTe3 from Alexandria. Energies are from PBE.

Cell: 9.1736 9.1736 8.8394 Å, 95.53 95.53 113.27°
Atoms (fractional coordinates):
Rb1 0.1713 0.8287 0.0000
Rb2 0.2298 0.7702 0.5000
Rb3 0.3972 0.3972 0.1471
Rb4 0.6028 0.6028 0.8529
Rb5 0.7702 0.2298 0.5000
Rb6 0.8287 0.1713 0.0000
Tl1 0.1846 0.1846 0.6491
Tl2 0.8154 0.8154 0.3509
Te1 0.1038 0.1038 0.3109
Te2 0.1515 0.4611 0.7832
Te3 0.4611 0.1515 0.7832
Te4 0.5389 0.8485 0.2168
Te5 0.8485 0.5389 0.2168
Te6 0.8962 0.8962 0.6891

Size of the total moment in μB per cell: 0.000
Crystal system: monoclinic

***

Which is the most stable structure? w is the most stable.

***

w:
Here is a relaxed structure of RbTl3Te from Alexandria. Energies are from PBE.

Cell: 6.4350 6.4350 6.4350 Å, 90.00 90.00 90.00°
Atoms (fractional coordinates):
Rb1 0.0000 0.0000 0.0000
Tl1 0.0000 0.5000 0.5000
Tl2 0.5000 0.0000 0.5000
Tl3 0.5000 0.5000 0.0000
Te1 0.5000 0.5000 0.5000

Size of the total moment in μB per cell: 0.000
Crystal system: cubic

***

x:
Here is a relaxed structure of RbTl3Te from Alexandria. Energies are from PBE.

Cell: 6.3603 6.3603 6.3603 Å, 90.00 90.00 90.00°
Atoms (fractional coordinates):
Rb1 0.0000 0.0000 0.0000
Tl1 0.0000 0.0000 0.5000
Tl2 0.0000 0.5000 0.0000
Tl3 0.5000 0.0000 0.0000
Te1 0.5000 0.5000 0.5000

Size of the total moment in μB per cell: 0.000
Crystal system: cubic

***

Which is the most stable structure? w is the most stable.

***

w:
Here is a relaxed structure of RbTlZnTe2 from Alexandria. Energies are from PBE.

Cell: 8.1484 5.7601 8.9782 Å, 90.00 91.93 90.00°
Atoms (fractional coordinates):
Rb1 0.0000 0.2442 0.2500
Rb2 0.0000 0.7558 0.7500
Tl1 0.5000 0.0892 0.2500
Tl2 0.5000 0.9108 0.7500
Zn1 0.5000 0.5000 0.0000
Zn2 0.5000 0.5000 0.5000
Te1 0.2579 0.2746 0.9070
Te2 0.2579 0.7254 0.4070
Te3 0.7421 0.2746 0.5930
Te4 0.7421 0.7254 0.0930

Size of the total moment in μB per cell: 0.000
Crystal system: monoclinic

***

x:
Here is a relaxed structure of RbTlZnTe2 from Alexandria. Energies are from PBE.

Cell: 5.8763 5.8763 6.9301 Å, 90.00 90.00 90.00°
Atoms (fractional coordinates):
Rb1 0.0000 0.0000 0.0000
Tl1 0.0000 0.0000 0.5000
Zn1 0.5000 0.5000 0.0000
Te1 0.0000 0.5000 0.5000
Te2 0.5000 0.0000 0.5000

Size of the total moment in μB per cell: 0.000
Crystal system: tetragonal

***

Which is the most stable structure? w is the most stable.

***

w:
Here is a relaxed structure of Rb2UTe4 from Alexandria. Energies are from PBE.

Cell: 7.4616 4.5711 9.6401 Å, 90.00 110.94 90.00°
Atoms (fractional coordinates):
Rb1 0.2133 0.0000 0.3509
Rb2 0.7867 0.0000 0.6491
U1 0.5000 0.5000 0.0000
Te1 0.2356 0.0000 0.9744
Te2 0.3841 0.5000 0.6820
Te3 0.6159 0.5000 0.3180
Te4 0.7644 0.0000 0.0256

Size of the total moment in μB per cell: 0.093
Crystal system: monoclinic

***

x:
Here is a relaxed structure of Rb2UTe4 from Alexandria. Energies are from PBE.

Cell: 10.1394 10.1394 10.1394 Å, 146.42 146.42 48.22°
Atoms (fractional coordinates):
Rb1 0.1437 0.1437 0.0000
Rb2 0.8563 0.8563 0.0000
U1 0.5000 0.5000 0.0000
Te1 0.0000 0.5000 0.5000
Te2 0.3452 0.3452 0.0000
Te3 0.5000 0.0000 0.5000
Te4 0.6548 0.6548 0.0000

Size of the total moment in μB per cell: 0.075
Crystal system: tetragonal

***

Which is the most stable structure? x is the most stable.

***

w:
Here is a relaxed structure of Rb4UTe5 from Alexandria. Energies are from PBE.

Cell: 9.1782 9.1782 9.1782 Å, 96.17 96.17 141.73°
Atoms (fractional coordinates):
Rb1 0.0000 0.2780 0.2780
Rb2 0.0000 0.7220 0.7220
Rb3 0.2780 0.0000 0.2780
Rb4 0.7220 0.0000 0.7220
U1 0.5000 0.5000 0.0000
Te1 0.0000 0.0000 0.0000
Te2 0.3306 0.3306 0.6612
Te3 0.3306 0.6694 0.0000
Te4 0.6694 0.3306 0.0000
Te5 0.6694 0.6694 0.3388

Size of the total moment in μB per cell: 0.086
Crystal system: tetragonal

***

x:
Here is a relaxed structure of Rb4UTe5 from Alexandria. Energies are from PBE.

Cell: 8.7723 8.7723 8.7723 Å, 99.76 99.76 131.37°
Atoms (fractional coordinates):
Rb1 0.0932 0.6972 0.7903
Rb2 0.3028 0.0932 0.3960
Rb3 0.6972 0.9068 0.6040
Rb4 0.9068 0.3028 0.2097
U1 0.4666 0.4666 0.0000
Te1 0.0683 0.0683 0.0000
Te2 0.2583 0.4201 0.6755
Te3 0.4201 0.7446 0.1618
Te4 0.5828 0.2583 0.8382
Te5 0.7446 0.5828 0.3245

Size of the total moment in μB per cell: 0.039
Crystal system: tetragonal

***

Which is the most stable structure? x is the most stable.

***

w:
Here is a relaxed structure of RbVTe3 from Alexandria. Energies are from PBE.

Cell: 7.4245 7.4245 7.5382 Å, 107.03 107.03 62.28°
Atoms (fractional coordinates):
Rb1 0.1350 0.1350 0.3224
Rb2 0.8650 0.8650 0.6776
V1 0.3293 0.3293 0.9846
V2 0.6707 0.6707 0.0154
Te1 0.0654 0.6302 0.2045
Te2 0.3698 0.9346 0.7955
Te3 0.4360 0.4360 0.7536
Te4 0.5640 0.5640 0.2464
Te5 0.6302 0.0654 0.2045
Te6 0.9346 0.3698 0.7955

Size of the total moment in μB per cell: 0.128
Crystal system: monoclinic

***

x:
Here is a relaxed structure of RbVTe3 from Alexandria. Energies are from PBE.

Cell: 8.0884 8.0884 6.2265 Å, 90.00 90.00 124.82°
Atoms (fractional coordinates):
Rb1 0.1728 0.8272 0.7500
Rb2 0.8272 0.1728 0.2500
V1 0.5000 0.5000 0.0000
V2 0.5000 0.5000 0.5000
Te1 0.1681 0.3296 0.7500
Te2 0.3296 0.1681 0.2500
Te3 0.3465 0.6535 0.2500
Te4 0.6535 0.3465 0.7500
Te5 0.6704 0.8319 0.7500
Te6 0.8319 0.6704 0.2500

Size of the total moment in μB per cell: 1.214
Crystal system: orthorhombic

***

Which is the most stable structure? x is the most stable.